## Sc3SnRu4 (PBE)

Data for a relaxed Sc3SnRu4 crystal.

The structure in POSCAR format:
```
Sc3SnRu4
1.0
-2.4527 -2.7008 2.7132
1.2478 -0.6112 4.3291
-4.5466 4.6810 4.3590
Sc Ru Sn
3 4 1
direct
0.2512 0.2512 0.2465
0.7488 0.7488 0.7535
0.5000 0.5000 0.5000
0.8758 0.8758 0.3727
0.3746 0.3746 0.8762
0.1242 0.1242 0.6273
0.6254 0.6254 0.1238
0.0000 0.0000 0.0000
```

Computed properties:
ΔE_f: -521 meV/atom
total magnetization: 0.00 μB/f.u.
symmetry: R-3m (166)
total energy: -8.03 eV per atom
theoretical density: 8.25 g/cm³

## ScSnRu (PBE)

Data for a relaxed ScSnRu crystal.

The structure in POSCAR format:
```
ScSnRu
1.0
-1.1264 3.9673 -2.2055
-2.5209 -1.4324 3.6695
3.4650 2.9465 3.5305
Sc Sn Ru
2 2 2
direct
0.3333 0.6667 0.3227
0.0000 0.0000 0.0800
0.0000 0.0000 0.5824
0.6667 0.3333 0.9630
0.3333 0.6667 0.8244
0.6667 0.3333 0.4662
```

Computed properties:
ΔE_f: -436 meV/atom
total magnetization: 0.00 μB/f.u.
symmetry: P3m1 (156)
total energy: -6.97 eV per atom
theoretical density: 8.06 g/cm³

## SrScSn2Ru (PBE)

Data for a relaxed SrScSn2Ru crystal.

The structure in POSCAR format:
```
SrScSn2Ru
1.0
5.2623 0.0000 0.0000
0.0000 4.9024 0.0000
0.0000 0.0000 5.2623
Sc Ru Sn Sr
1 1 2 1
direct
0.0000 0.5000 0.0000
0.0000 0.0000 0.0000
0.0000 0.0000 0.5000
0.5000 0.0000 0.0000
0.5000 0.5000 0.5000
```

Computed properties:
ΔE_f: -250 meV/atom
total magnetization: 0.00 μB/f.u.
symmetry: P4/mmm (123)
total energy: -5.31 eV per atom
theoretical density: 5.76 g/cm³

## ScTcSnRu (PBE)

Data for a relaxed ScTcSnRu crystal.

The structure in POSCAR format:
```
ScTcSnRu
1.0
4.5678 0.0000 0.0000
2.2839 3.9558 0.0000
2.2839 1.3186 3.7296
Sc Ru Sn Tc
1 1 1 1
direct
0.0000 0.0000 0.0000
0.7500 0.7500 0.7500
0.5000 0.5000 0.5000
0.2500 0.2500 0.2500
```

Computed properties:
ΔE_f: -267 meV/atom
total magnetization: 0.00 μB/f.u.
symmetry: F-43m (216)
total energy: -7.76 eV per atom
theoretical density: 8.94 g/cm³

## Sc3Tc2Sn3Ru (PBE)

Data for a relaxed Sc3Tc2Sn3Ru crystal.

The structure in POSCAR format:
```
Sc3Tc2Sn3Ru
1.0
-2.6302 1.3620 1.4719
-4.5380 -2.7581 -5.5571
1.3502 -4.1970 6.2964
Sc Tc Sn Ru
3 2 3 1
direct
0.5000 0.7232 0.0000
0.5000 0.0000 0.7232
0.5000 0.2768 0.2768
0.5000 0.6667 0.3333
0.5000 0.3333 0.6667
0.0000 0.6204 0.6204
0.0000 0.0000 0.3796
0.0000 0.3796 0.0000
0.0000 0.0000 0.0000
```

Computed properties:
ΔE_f: -354 meV/atom
total magnetization: 0.00 μB/f.u.
symmetry: P-62m (189)
total energy: -7.13 eV per atom
theoretical density: 7.73 g/cm³

## ScTlSn2Ru (PBE)

Data for a relaxed ScTlSn2Ru crystal.

The structure in POSCAR format:
```
ScTlSn2Ru
1.0
5.3968 0.0000 0.0000
0.0000 5.4384 0.0000
0.0000 0.0000 5.3968
Sc Ru Tl Sn
1 1 1 2
direct
0.0000 0.0000 0.0000
0.5000 0.5000 0.5000
0.0000 0.5000 0.0000
0.0000 0.0000 0.5000
0.5000 0.0000 0.0000
```

Computed properties:
ΔE_f: 1175 meV/atom
total magnetization: 2.20 μB/f.u.
symmetry: P4/mmm (123)
total energy: -4.02 eV per atom
theoretical density: 6.16 g/cm³